[1]
Material: MgCu2Si
Method: DFT, PBE
State: optimized geometry

Lattice parameters (Å, degrees): 4.0578 4.0578 16.3429 90.00 90.00 90.00
Space group I-42d (No. 122)
Inequivalent atoms, fractional coordinates:
Mg 0.0000 0.0000 0.0000 [4 per cell]
Cu 0.1691 0.2500 0.6250 [8 per cell]
Si 0.0000 0.0000 0.5000 [4 per cell]

Results
As for the mass density: 4.43 g/cm3. As for the total energy: -57.85 eV/cell. Its crystal system is tetragonal.


[2]
Material: NbCu3Ni
Method: DFT, PBE
State: optimized geometry

Lattice parameters (Å, degrees): 4.6971 4.6971 4.6971 90.00 90.00 90.00
Space group Pm-3m (No. 221)
Inequivalent atoms, fractional coordinates:
Nb 0.0000 0.0000 0.0000 [1 per cell]
Cu 0.0000 0.0000 0.5000 [3 per cell]
Ni 0.5000 0.5000 0.5000 [1 per cell]

Results
As for the mass density: 5.48 g/cm3. The value obtained for the excess energy over the best structure of this formula in the dataset is 0.858 eV/atom. Its crystal system is cubic.


[3]
Material: SrPd2Rh3S8
Method: DFT, PBE
State: optimized geometry

Lattice parameters (Å, degrees): 7.2916 7.2916 18.3159 90.00 90.00 120.00
Space group R3m (No. 160, hexagonal axes)
Inequivalent atoms, fractional coordinates:
Sr 0.0000 0.0000 0.0000 [3 per cell]
Pd 0.0000 0.0000 0.2516 [3 per cell]
Pd 0.0000 0.0000 0.6266 [3 per cell]
Rh 0.0008 0.5004 0.1283 [9 per cell]
S 0.0000 0.0000 0.3935 [3 per cell]
S 0.0000 0.0000 0.8539 [3 per cell]
S 0.0621 0.5310 0.3887 [9 per cell]
S 0.1845 0.3690 0.2052 [9 per cell]

Results
As for the mass density: 5.11 g/cm3. As for the total energy: -222.48 eV/cell. Its crystal system is trigonal.